VASP calculation (PBE with a Hubbard U) on an optimized crystal structure of CsZn2WF8.

Unit cell a=5.4963 b=5.4963 c=25.2176 alpha=90.00 beta=90.00 gamma=120.00
Last column: nearest neighbours and their distance in Å.
Space group R-3 (No. 148, hexagonal axes)
Symmetry-distinct sites (fractional):
Cs: 0.0000 0.0000 0.0000 [3 per cell]  12 F 3.20-3.55
Zn: 0.0000 0.0000 0.2436 [6 per cell]  4 F 1.86-1.96
W: 0.0000 0.0000 0.5000 [3 per cell]  6 F 2.12
F: 0.0000 0.0000 0.3173 [6 per cell]  1 Zn 1.86
F: 0.0116 0.3602 0.1179 [18 per cell]  1 Zn 1.96, 1 W 2.12

Values from the calculation:
VASP energy: -55.0 eV per formula unit
DOS at the Fermi energy: 0.0 states/eV per cell